Entry 1:
ZrAlCuNi2 PBE optimized geometry; total energy = -4.26 eV per atom; N(E_F) = 4.8 states/eV per cell; total magnetic moment = 0.000 μB/f.u.; energy of formation from the pure elements = 1329 meV per atom
1.0
4.570 0.000 0.000
0.000 4.570 0.000
0.000 0.000 5.202
Zr Al Cu Ni
1 1 1 2
Direct
0.000 0.000 0.000
0.000 0.000 0.500
0.500 0.500 0.500
0.000 0.500 0.000
0.500 0.000 0.000

Entry 2:
Zr2AlCuNi PBE optimized geometry; total energy = -5.31 eV per atom; N(E_F) = 8.6 states/eV per cell; total magnetic moment = 0.000 μB/f.u.; energy of formation from the pure elements = 831 meV per atom
1.0
5.009 0.000 0.000
0.000 5.009 0.000
0.000 0.000 4.236
Zr Al Cu Ni
2 1 1 1
Direct
0.000 0.500 0.000
0.500 0.000 0.000
0.000 0.000 0.000
0.000 0.000 0.500
0.500 0.500 0.500

> Look up the total energy of the second one.

-5.31 eV per atom